VASP calculation (GGA-PBE) on CoCu2Ru after structural relaxation.

Values from the calculation:
The value obtained for the energy above the most stable polymorph in this dataset is 62 meV per atom. For the density of states at the Fermi level, the calculation gives 0.970 states/eV/atom. For the total energy, the calculation gives -5.926 eV per atom. The size of the total moment is 3.67 μB/cell.

abc: 8.7728 2.5355 4.4959
angles: 90.00 99.84 90.00
Space group C2/m (No. 12)
One atom of each set of equivalent atoms:
Co1 0.0000 0.0000 0.0000 [2 per cell]
Cu1 0.2477 0.5000 0.2448 [4 per cell]
Ru1 0.0000 0.5000 0.5000 [2 per cell]